An optimized crystal structure of Sm3Tl3BiTe8, computed with GGA-PBE.

extended XYZ file:
```
15
Lattice="7.825 -4.518 0.000 7.825 4.518 0.000 -5.224 0.000 8.012" Properties=species:S:1:pos:R:3 pbc="T T T"
Sm 0.000 0.000 0.000
Sm 3.913 2.259 0.000
Sm 3.913 -2.259 0.000
Tl 1.301 2.259 4.006
Tl 1.301 -2.259 4.006
Tl 5.213 0.000 4.006
Bi 7.825 0.000 0.000
Te 6.506 2.283 1.767
Te 2.607 0.000 1.780
Te -0.034 0.000 6.246
Te 3.920 2.283 6.245
Te 6.506 -2.283 1.767
Te 10.461 0.000 1.766
Te 7.820 0.000 6.232
Te 3.920 -2.283 6.245
```

Calculated values
space group: C2/m (12)
energy relative to the elements, uncorrected: -854 meV per atom